No. 1
DFT (PBEsol) results for LaCoOs after structural relaxation.

Lattice parameters (Å, degrees): 3.250 3.250 5.674 106.68 106.68 89.96
Last column: magnetic moment on the atom in μB.
Element x y z (fractional)
Co 0.954 0.954 0.908  0.98
Os 0.379 0.379 0.759  0.26
La 0.666 0.666 0.334  -0.04

Energy above the most stable polymorph in this dataset (kJ/mol of atoms): 23.43
N(E_F) (states/eV/cell): 3.71
Calculated formation energy (eV per atom): 0.328

No. 2
DFT (PBEsol) results for Ho3Ga5O12 after structural relaxation.

Lattice parameters (Å, degrees): 10.584 10.584 10.584 109.47 109.47 109.47
Element x y z (fractional)
Ho 0.250 0.125 0.875
Ho 0.750 0.375 0.625
Ho 0.375 0.250 0.625
Ho 0.125 0.750 0.875
Ho 0.125 0.375 0.750
Ho 0.375 0.125 0.250
Ho 0.750 0.875 0.125
Ho 0.250 0.625 0.375
Ho 0.625 0.750 0.375
Ho 0.875 0.250 0.125
Ho 0.875 0.625 0.250
Ho 0.625 0.875 0.750
Ga 0.625 0.375 0.250
Ga 0.375 0.625 0.750
Ga 0.375 0.750 0.125
Ga 0.750 0.625 0.875
Ga 0.125 0.250 0.375
Ga 0.250 0.875 0.625
Ga 0.750 0.125 0.375
Ga 0.250 0.375 0.125
Ga 0.875 0.750 0.625
Ga 0.625 0.250 0.875
Ga 0.125 0.875 0.250
Ga 0.875 0.125 0.750
Ga 0.500 0.000 0.500
Ga 0.000 0.000 0.500
Ga 0.500 0.000 0.000
Ga 0.000 0.500 0.000
Ga 0.000 0.000 0.000
Ga 0.000 0.500 0.500
Ga 0.500 0.500 0.000
Ga 0.500 0.500 0.500
O 0.470 0.293 0.876
O 0.177 0.584 0.707
O 0.207 0.177 0.084
O 0.584 0.207 0.677
O 0.124 0.207 0.530
O 0.323 0.030 0.407
O 0.177 0.593 0.970
O 0.593 0.124 0.416
O 0.376 0.907 0.084
O 0.584 0.376 0.407
O 0.593 0.470 0.677
O 0.907 0.584 0.876
O 0.030 0.124 0.707
O 0.207 0.030 0.624
O 0.470 0.177 0.093
O 0.293 0.916 0.823
O 0.916 0.323 0.793
O 0.030 0.907 0.823
O 0.916 0.593 0.624
O 0.624 0.093 0.916
O 0.376 0.470 0.793
O 0.907 0.323 0.530
O 0.293 0.376 0.970
O 0.323 0.293 0.416
O 0.530 0.707 0.124
O 0.823 0.416 0.293
O 0.793 0.823 0.916
O 0.416 0.793 0.323
O 0.876 0.793 0.470
O 0.677 0.970 0.593
O 0.823 0.407 0.030
O 0.407 0.876 0.584
O 0.677 0.707 0.584
O 0.707 0.624 0.030
O 0.093 0.677 0.470
O 0.876 0.084 0.907
O 0.624 0.530 0.207
O 0.084 0.407 0.376
O 0.970 0.093 0.177
O 0.084 0.677 0.207
O 0.707 0.084 0.177
O 0.530 0.823 0.907
O 0.793 0.970 0.376
O 0.970 0.876 0.293
O 0.093 0.416 0.124
O 0.407 0.530 0.323
O 0.416 0.624 0.593
O 0.124 0.916 0.093

N(E_F) (states/eV/cell): 0.00
Uncorrected formation energy (eV/atom): -2.62

No. 3
DFT (PBEsol) results for LaNi5H7 after structural relaxation.

Lattice parameters (Å, degrees): 5.264 5.264 8.589 90.00 90.00 120.00
Element x y z (fractional)
La 0.000 0.000 0.019
La 0.000 0.000 0.519
Ni 0.499 0.501 0.252
Ni 0.499 0.999 0.252
Ni 0.001 0.501 0.252
Ni 0.501 0.499 0.752
Ni 0.501 0.001 0.752
Ni 0.999 0.499 0.752
Ni 0.333 0.667 0.007
Ni 0.667 0.333 0.507
Ni 0.333 0.667 0.482
Ni 0.667 0.333 0.982
H 0.506 0.494 0.061
H 0.506 0.013 0.061
H 0.987 0.494 0.061
H 0.494 0.506 0.561
H 0.494 0.987 0.561
H 0.013 0.506 0.561
H 0.333 0.667 0.821
H 0.667 0.333 0.321
H 0.147 0.853 0.272
H 0.147 0.295 0.272
H 0.705 0.853 0.272
H 0.853 0.147 0.772
H 0.853 0.705 0.772
H 0.295 0.147 0.772

N(E_F) (states/eV/cell): 14.84

No. 4
DFT (PBEsol) results for RbCa3In after structural relaxation.

Lattice parameters (Å, degrees): 5.756 5.756 5.756 90.00 90.00 90.00
Last column: magnetic moment on the atom in μB.
Element x y z (fractional)
Ca 0.000 0.500 0.000  0.14
Ca 0.000 0.000 0.500  0.14
Ca 0.500 0.000 0.000  0.14
Rb 0.000 0.000 0.000  0.15
In 0.500 0.500 0.500  -0.04

N(E_F) (states/eV/cell): 5.68
Calculated formation energy (eV per atom): 0.970

No. 5
DFT (PBEsol) results for Mg2MoIr after structural relaxation.

Lattice parameters (Å, degrees): 2.968 4.623 4.605 90.00 90.00 90.00
Element x y z (fractional)
Ir 0.000 0.500 0.500
Mg 0.000 0.000 0.000
Mg 0.500 0.000 0.500
Mo 0.500 0.500 0.000

Energy above the most stable polymorph in this dataset (kJ/mol of atoms): 0.00
N(E_F) (states/eV/cell): 2.74
Calculated formation energy (eV per atom): 0.143

No. 6
DFT (PBEsol) results for LiCa3RuO6 after structural relaxation.

Lattice parameters (Å, degrees): 6.373 6.373 6.373 91.87 91.87 91.87
Last column: magnetic moment on the atom in μB.
Element x y z (fractional)
Li 0.250 0.250 0.250  0.00
Li 0.750 0.750 0.750  0.00
Ca 0.608 0.250 0.892  0.01
Ca 0.250 0.892 0.608  0.01
Ca 0.108 0.392 0.750  0.01
Ca 0.750 0.108 0.392  0.01
Ca 0.392 0.750 0.108  0.01
Ca 0.892 0.608 0.250  0.01
Ru 0.000 0.000 0.000  1.88
Ru 0.500 0.500 0.500  1.88
O 0.449 0.579 0.791  0.13
O 0.051 0.709 0.921  0.13
O 0.921 0.051 0.709  0.13
O 0.709 0.921 0.051  0.13
O 0.791 0.449 0.579  0.13
O 0.579 0.791 0.449  0.13
O 0.209 0.551 0.421  0.13
O 0.421 0.209 0.551  0.13
O 0.291 0.079 0.949  0.13
O 0.079 0.949 0.291  0.13
O 0.949 0.291 0.079  0.13
O 0.551 0.421 0.209  0.13

N(E_F) (states/eV/cell): 0.84
Uncorrected formation energy (eV/atom): -2.31

No. 7
DFT (PBEsol) results for SrCa2I6 after structural relaxation.

Lattice parameters (Å, degrees): 7.066 7.824 7.824 120.00 90.00 90.00
Element x y z (fractional)
I 0.250 0.000 0.650
I 0.750 0.000 0.350
I 0.250 0.650 0.000
I 0.750 0.350 0.000
I 0.750 0.650 0.650
I 0.250 0.350 0.350
Sr 0.000 0.000 0.000
Ca 0.500 0.667 0.333
Ca 0.500 0.333 0.667

N(E_F) (states/eV/cell): 0.00
Uncorrected formation energy (eV/atom): -1.60

No. 8
DFT (PBEsol) results for CuBC3 after structural relaxation.

Lattice parameters (Å, degrees): 3.415 3.415 3.415 90.00 90.00 90.00
Element x y z (fractional)
C 0.000 0.500 0.000
C 0.000 0.000 0.500
C 0.500 0.000 0.000
B 0.000 0.000 0.000
Cu 0.500 0.500 0.500

N(E_F) (states/eV/cell): 1.65
Calculated formation energy (eV per atom): 2.346

| no. | energy (eV/atom) |
| --- | --- |
| 1 | -8.105 |
| 2 | -7.349 |
| 3 | -4.840 |
| 4 | -1.112 |
| 5 | -6.114 |
| 6 | -6.860 |
| 7 | -3.458 |
| 8 | -5.710 |